A relaxed Hf2OsRu crystal. Source: Alexandria, functional PBE.

The space group is P4/mmm (No. 123) and the conventional cell measures 4.5983, 4.5983 and 3.2405 Å, with angles of 90.00, 90.00 and 90.00 degrees. The asymmetric unit holds Hf at (0.0000, 0.5000, 0.0000), Os at (0.0000, 0.0000, 0.5000) and Ru at (0.5000, 0.5000, 0.5000).

The formation energy is -0.76 eV/atom. As for the size of the total moment: 0.00 Bohr magnetons per cell.